First-principles (meta-GGA SCAN) data for Hf2Ni2Sn at its PBEsol-relaxed geometry, as listed in the Alexandria database.

- ρ: 12.13 Mg/m³
- Size of the total moment: 0.0000 μB/atom
- Energy relative to the elements: -312 kJ/mol of formula units
- E_tot: -39.37 eV per atom

Cell lengths 6.973, 6.973, 6.679 Å; angles 90.00, 90.00, 90.00 degrees
Fractional coordinates of all 20 atoms:
Hf  0.152  0.152  0.000
Hf  0.181  0.181  0.500
Hf  0.319  0.681  0.000
Hf  0.348  0.652  0.500
Hf  0.652  0.348  0.500
Hf  0.681  0.319  0.000
Hf  0.819  0.819  0.500
Hf  0.848  0.848  0.000
Ni  0.127  0.873  0.286
Ni  0.127  0.873  0.714
Ni  0.373  0.373  0.214
Ni  0.373  0.373  0.786
Ni  0.627  0.627  0.214
Ni  0.627  0.627  0.786
Ni  0.873  0.127  0.286
Ni  0.873  0.127  0.714
Sn  0.000  0.500  0.250
Sn  0.000  0.500  0.750
Sn  0.500  0.000  0.250
Sn  0.500  0.000  0.750